No. 1
VASP calculation (GGA-PBE) on a relaxed PmNiP2 crystal.

Output
N(E_F) = 2.2 states/eV per cell
relative energy among the computed polymorphs = 2.54 eV per formula unit
E = -5.72 eV per atom
energy of formation from the pure elements = -378 meV/atom

a = 3.789 Å, b = 4.277 Å, c = 4.277 Å
α = 90.00°, β = 90.00°, γ = 90.00°
Positions (direct):
P 0.000 0.000 0.500
Pm 0.500 0.000 0.000
Ni 0.500 0.500 0.500
P 0.000 0.500 0.000

---

No. 2
VASP calculation (GGA-PBE) on a relaxed FeTc3H crystal.

Output
N(E_F) = 6.4 states/eV per cell
relative energy among the computed polymorphs = 9.29 eV per formula unit
E = -6.59 eV per atom

a = 4.407 Å, b = 4.407 Å, c = 4.407 Å
α = 90.00°, β = 90.00°, γ = 90.00°
Positions (direct):
H 0.500 0.500 0.500
Tc 0.000 0.000 0.500
Tc 0.000 0.500 0.000
Fe 0.000 0.000 0.000
Tc 0.500 0.000 0.000

---

No. 3
VASP calculation (GGA-PBE) on a relaxed Zr3Al3Cu2 crystal.

Output
N(E_F) = 7.2 states/eV per cell
relative energy among the computed polymorphs = 1.64 eV per formula unit
E = -5.77 eV per atom
energy of formation from the pure elements = -134 meV/atom

a = 8.032 Å, b = 8.032 Å, c = 5.229 Å
α = 90.00°, β = 90.00°, γ = 120.00°
Positions (direct):
Zr 0.000 0.584 0.250
Cu 0.667 0.333 0.500
Al 0.794 0.794 0.250
Zr 0.416 0.416 0.250
Zr 0.000 0.416 0.750
Cu 0.333 0.667 0.000
Al 0.794 0.000 0.750
Zr 0.584 0.000 0.250
Al 0.206 0.206 0.750
Zr 0.584 0.584 0.750
Al 0.000 0.206 0.250
Al 0.206 0.000 0.250
Cu 0.667 0.333 0.000
Cu 0.333 0.667 0.500
Al 0.000 0.794 0.750
Zr 0.416 0.000 0.750

---

No. 4
VASP calculation (GGA-PBE) on a relaxed Li3LaC crystal.

Output
N(E_F) = 3.6 states/eV per cell
relative energy among the computed polymorphs = 9.69 eV per formula unit
E = -1.62 eV per atom
energy of formation from the pure elements = 2356 meV/atom

a = 5.986 Å, b = 5.986 Å, c = 5.986 Å
α = 90.00°, β = 90.00°, γ = 90.00°
Positions (direct):
Li 0.500 0.000 0.000
C 0.500 0.500 0.500
Li 0.000 0.500 0.000
La 0.000 0.000 0.000
Li 0.000 0.000 0.500

---

No. 5
VASP calculation (GGA-PBE) on a relaxed Nd6Ag5Ge crystal.

Output
N(E_F) = 12.0 states/eV per cell
E = -4.30 eV per atom
energy of formation from the pure elements = -338 meV/atom

a = 5.271 Å, b = 7.479 Å, c = 8.396 Å
α = 90.00°, β = 71.71°, γ = 90.00°
Positions (direct):
Nd 0.837 0.247 0.325
Nd 0.163 0.753 0.675
Ag 0.670 0.500 0.660
Ag 0.000 0.500 0.000
Ag 0.674 0.000 0.651
Ag 0.330 0.500 0.340
Ag 0.326 0.000 0.349
Ge 0.000 0.000 0.000
Nd 0.163 0.247 0.675
Nd 0.500 0.243 0.000
Nd 0.837 0.753 0.325
Nd 0.500 0.757 0.000

---

No. 6
VASP calculation (GGA-PBE) on a relaxed TaCrSnOs crystal.

Output
N(E_F) = 2.8 states/eV per cell
E = -8.97 eV per atom
energy of formation from the pure elements = 203 meV/atom

a = 4.641 Å, b = 3.062 Å, c = 5.005 Å
α = 90.00°, β = 109.74°, γ = 90.00°
Positions (direct):
Os 0.994 0.500 0.358
Cr 0.994 0.000 0.858
Ta 0.494 0.000 0.358
Sn 0.494 0.500 0.858

---

No. 7
VASP calculation (GGA-PBE) on a relaxed KTl2Br crystal.

Output
N(E_F) = 4.1 states/eV per cell
relative energy among the computed polymorphs = 0.96 eV per formula unit
raw formation energy = -374 meV per atom
E = -2.25 eV per atom

a = 5.782 Å, b = 5.782 Å, c = 5.782 Å
α = 60.00°, β = 60.00°, γ = 60.00°
Positions (direct):
K 0.750 0.750 0.750
Tl 0.250 0.250 0.250
Tl 0.000 0.000 0.000
Br 0.500 0.500 0.500

---

No. 8
VASP calculation (GGA-PBE) on a relaxed EuGdZnCo crystal.

Output
N(E_F) = 3.9 states/eV per cell
E = -8.22 eV per atom
energy of formation from the pure elements = -38 meV/atom

a = 4.990 Å, b = 4.990 Å, c = 4.990 Å
α = 60.00°, β = 60.00°, γ = 60.00°
Positions (direct):
Co 0.500 0.500 0.500
Gd 0.250 0.250 0.250
Zn 0.000 0.000 0.000
Eu 0.750 0.750 0.750

---

Question: Among the records above, which one has the highest E?
Answer: Li3LaC

---

What did the third record say?
VASP calculation (GGA-PBE) on a relaxed Zr3Al3Cu2 crystal.

Output
N(E_F) = 7.2 states/eV per cell
relative energy among the computed polymorphs = 1.64 eV per formula unit
E = -5.77 eV per atom
energy of formation from the pure elements = -134 meV/atom

a = 8.032 Å, b = 8.032 Å, c = 5.229 Å
α = 90.00°, β = 90.00°, γ = 120.00°
Positions (direct):
Zr 0.000 0.584 0.250
Cu 0.667 0.333 0.500
Al 0.794 0.794 0.250
Zr 0.416 0.416 0.250
Zr 0.000 0.416 0.750
Cu 0.333 0.667 0.000
Al 0.794 0.000 0.750
Zr 0.584 0.000 0.250
Al 0.206 0.206 0.750
Zr 0.584 0.584 0.750
Al 0.000 0.206 0.250
Al 0.206 0.000 0.250
Cu 0.667 0.333 0.000
Cu 0.333 0.667 0.500
Al 0.000 0.794 0.750
Zr 0.416 0.000 0.750

---

Question: Look up the N(E_F) of the sixth one.
Answer: 2.8 states/eV per cell

---

Question: Which value of N(E_F) does entry 1 give?
Answer: 2.2 states/eV per cell